Version 1
Here is a relaxed CaInSN2 crystal from Alexandria via LeMat-Bulk. Energies are from PBE.

Cell lengths 4.438, 4.438, 9.025 Å; angles 90.00, 90.00, 90.00 degrees
Space group P4/mmm (No. 123)
Asymmetric unit:
Ca 0.000 0.000 0.000
In 0.000 0.000 0.500
S 0.500 0.500 0.500
N 0.000 0.500 0.000


Version 2
Here is a relaxed CaInSN2 crystal from Alexandria via LeMat-Bulk. Energies are from PBE.

Cell lengths 4.298, 4.298, 5.513 Å; angles 90.00, 90.00, 90.00 degrees
Space group P4/mmm (No. 123)
Asymmetric unit:
Ca 0.000 0.000 0.000
In 0.500 0.500 0.500
S 0.500 0.500 0.000
N 0.000 0.500 0.500


Most stable: version 2. Least stable: version 1.


Version 1
Here is a relaxed CaInSe2N crystal from Alexandria via LeMat-Bulk. Energies are from PBE.

Cell lengths 5.452, 5.452, 4.258 Å; angles 90.00, 90.00, 90.00 degrees
Space group P4/mmm (No. 123)
Asymmetric unit:
Ca 0.000 0.000 0.000
In 0.500 0.500 0.500
Se 0.000 0.500 0.500
N 0.500 0.500 0.000


Version 2
Here is a relaxed CaInSe2N crystal from Alexandria via LeMat-Bulk. Energies are from PBE.

Cell lengths 5.546, 5.546, 4.382 Å; angles 90.00, 90.00, 90.00 degrees
Space group P4/mmm (No. 123)
Asymmetric unit:
Ca 0.000 0.000 0.000
In 0.500 0.500 0.500
Se 0.000 0.500 0.000
N 0.000 0.000 0.500


Most stable: version 1. Least stable: version 2.


Version 1
Here is a relaxed CaInSeN2 crystal from Alexandria via LeMat-Bulk. Energies are from PBE.

Cell lengths 4.592, 4.592, 5.849 Å; angles 90.00, 90.00, 90.00 degrees
Space group P4/mmm (No. 123)
Asymmetric unit:
Ca 0.000 0.000 0.000
In 0.500 0.500 0.500
Se 0.000 0.000 0.500
N 0.000 0.500 0.000


Version 2
Here is a relaxed CaInSeN2 crystal from Alexandria via LeMat-Bulk. Energies are from PBE.

Cell lengths 4.355, 4.355, 5.878 Å; angles 90.00, 90.00, 90.00 degrees
Space group P4/mmm (No. 123)
Asymmetric unit:
Ca 0.000 0.000 0.000
In 0.500 0.500 0.500
Se 0.500 0.500 0.000
N 0.000 0.500 0.500


Most stable: version 2. Least stable: version 1.


Version 1
Here is a relaxed Ca2InSnN crystal from Alexandria via LeMat-Bulk. Energies are from PBE.

Cell lengths 4.849, 4.849, 4.741 Å; angles 90.00, 90.00, 90.00 degrees
Space group P4/mmm (No. 123)
Asymmetric unit:
Ca 0.000 0.500 0.000
In 0.000 0.000 0.500
Sn 0.500 0.500 0.500
N 0.000 0.000 0.000


Version 2
Here is a relaxed Ca2InSnN crystal from Alexandria via LeMat-Bulk. Energies are from PBE.

Cell lengths 4.862, 4.862, 4.822 Å; angles 90.00, 90.00, 90.00 degrees
Space group P4/mmm (No. 123)
Asymmetric unit:
Ca 0.000 0.500 0.000
In 0.000 0.000 0.500
Sn 0.500 0.500 0.500
N 0.500 0.500 0.000


Most stable: version 1. Least stable: version 2.


Version 1
Here is a relaxed CaInTeN2 crystal from Alexandria via LeMat-Bulk. Energies are from PBE.

Cell lengths 4.403, 4.403, 6.029 Å; angles 90.00, 90.00, 90.00 degrees
Space group P4/mmm (No. 123)
Asymmetric unit:
Ca 0.000 0.000 0.000
In 0.500 0.500 0.500
Te 0.500 0.500 0.000
N 0.000 0.500 0.500


Version 2
Here is a relaxed CaInTeN2 crystal from Alexandria via LeMat-Bulk. Energies are from PBE.

Cell lengths 4.644, 4.644, 6.390 Å; angles 90.00, 90.00, 90.00 degrees
Space group P4/mmm (No. 123)
Asymmetric unit:
Ca 0.000 0.000 0.000
In 0.500 0.500 0.500
Te 0.000 0.000 0.500
N 0.000 0.500 0.000


Most stable: version 1. Least stable: version 2.


Version 1
Here is a relaxed Na2CaIn6 crystal from Alexandria via LeMat-Bulk. Energies are from PBE.

Cell lengths 8.8818, 8.8818, 10.6486 Å; angles 90.00, 90.00, 120.00 degrees
Space group R-3m (No. 166, hexagonal axes)
Asymmetric unit:
Na 0.0000 0.0000 0.1625
Ca 0.0000 0.0000 0.5000
In 0.0000 0.3332 0.0000


Version 2
Here is a relaxed Na2CaIn6 crystal from Alexandria via LeMat-Bulk. Energies are from PBE.

Cell lengths 3.726, 8.583, 15.298 Å; angles 90.00, 90.00, 90.00 degrees
Space group Immm (No. 71)
Asymmetric unit:
Na 0.000 0.000 0.140
Ca 0.000 0.500 0.000
In 0.000 0.175 0.322
In 0.000 0.323 0.500


Most stable: version 1. Least stable: version 2.


Version 1
Here is a relaxed Na2CaIn2 crystal from Alexandria via LeMat-Bulk. Energies are from PBE.

Cell lengths 8.895, 8.895, 3.603 Å; angles 90.00, 90.00, 90.00 degrees
Space group P4/mbm (No. 127)
Asymmetric unit:
Na 0.119 0.381 0.000
Ca 0.000 0.000 0.000
In 0.181 0.681 0.500


Version 2
Here is a relaxed Na2CaIn2 crystal from Alexandria via LeMat-Bulk. Energies are from PBE.

Cell lengths 4.422, 4.422, 15.365 Å; angles 90.00, 90.00, 90.00 degrees
Space group I4/mmm (No. 139)
Asymmetric unit:
Na 0.000 0.500 0.250
Ca 0.000 0.000 0.000
In 0.000 0.000 0.404


Version 3
Here is a relaxed Na2CaIn2 crystal from Alexandria via LeMat-Bulk. Energies are from PBE.

Cell lengths 8.904, 8.904, 3.783 Å; angles 90.00, 90.00, 90.00 degrees
Space group P4/mbm (No. 127)
Asymmetric unit:
Na 0.172 0.328 0.000
Ca 0.000 0.000 0.500
In 0.124 0.624 0.500


Most stable: version 2. Least stable: version 3.


Version 1
Here is a relaxed Na2Ca2In crystal from Alexandria via LeMat-Bulk. Energies are from PBE.

Cell lengths 4.133, 4.133, 20.356 Å; angles 90.00, 90.00, 90.00 degrees
Space group I4/mmm (No. 139)
Asymmetric unit:
Na 0.000 0.500 0.250
Ca 0.000 0.000 0.088
In 0.000 0.000 0.500


Version 2
Here is a relaxed Na2Ca2In crystal from Alexandria via LeMat-Bulk. Energies are from PBE.

Cell lengths 7.990, 7.990, 5.197 Å; angles 90.00, 90.00, 90.00 degrees
Space group P4/mbm (No. 127)
Asymmetric unit:
Na 0.130 0.370 0.000
Ca 0.189 0.689 0.500
In 0.000 0.000 0.000


Most stable: version 1. Least stable: version 2.


Version 1
Here is a relaxed NaCaIn4 crystal from Alexandria via LeMat-Bulk. Energies are from PBE.

Cell lengths 8.754, 8.754, 8.754 Å; angles 90.00, 90.00, 90.00 degrees
Space group F-43m (No. 216)
Asymmetric unit:
Na 0.000 0.000 0.000
Ca 0.250 0.250 0.250
In 0.125 0.125 0.625


Version 2
Here is a relaxed NaCaIn4 crystal from Alexandria via LeMat-Bulk. Energies are from PBE.

Cell lengths 5.047, 7.552, 8.714 Å; angles 90.00, 90.00, 90.00 degrees
Space group Imm2 (No. 44)
Asymmetric unit:
Na 0.000 0.000 0.000
Ca 0.000 0.500 0.924
In 0.000 0.208 0.619
In 0.000 0.296 0.290


Most stable: version 2. Least stable: version 1.


Version 1
Here is a relaxed NaCa3In crystal from Alexandria via LeMat-Bulk. Energies are from PBE.

Cell lengths 5.872, 5.872, 5.872 Å; angles 90.00, 90.00, 90.00 degrees
Space group Pm-3m (No. 221)
Asymmetric unit:
Na 0.000 0.000 0.000
Ca 0.000 0.000 0.500
In 0.500 0.500 0.500


Version 2
Here is a relaxed NaCa3In crystal from Alexandria via LeMat-Bulk. Energies are from PBE.

Cell lengths 5.633, 20.995, 5.639 Å; angles 90.00, 90.00, 90.00 degrees
Space group Cmcm (No. 63)
Asymmetric unit:
Na 0.000 0.158 0.250
Ca 0.000 0.066 0.750
Ca 0.000 0.251 0.750
Ca 0.000 0.436 0.750
In 0.000 0.344 0.250


Version 3
Here is a relaxed NaCa3In crystal from Alexandria via LeMat-Bulk. Energies are from PBE.

Cell lengths 6.086, 6.086, 6.086 Å; angles 90.00, 90.00, 90.00 degrees
Space group Pm-3m (No. 221)
Asymmetric unit:
Na 0.000 0.000 0.000
Ca 0.000 0.500 0.500
In 0.500 0.500 0.500


Most stable: version 2. Least stable: version 1.


Version 1
Here is a relaxed Na3CaIn crystal from Alexandria via LeMat-Bulk. Energies are from PBE.

Cell lengths 5.868, 5.868, 5.868 Å; angles 90.00, 90.00, 90.00 degrees
Space group Pm-3m (No. 221)
Asymmetric unit:
Na 0.000 0.000 0.500
Ca 0.500 0.500 0.500
In 0.000 0.000 0.000


Version 2
Here is a relaxed Na3CaIn crystal from Alexandria via LeMat-Bulk. Energies are from PBE.

Cell lengths 6.349, 6.349, 6.349 Å; angles 90.00, 90.00, 90.00 degrees
Space group Pm-3m (No. 221)
Asymmetric unit:
Na 0.000 0.000 0.500
Ca 0.000 0.000 0.000
In 0.500 0.500 0.500


Most stable: version 1. Least stable: version 2.


Version 1
Here is a relaxed Ca3NbIn crystal from Alexandria via LeMat-Bulk. Energies are from PBE.

Cell lengths 5.578, 5.578, 5.578 Å; angles 90.00, 90.00, 90.00 degrees
Space group Pm-3m (No. 221)
Asymmetric unit:
Ca 0.000 0.000 0.500
Nb 0.000 0.000 0.000
In 0.500 0.500 0.500


Version 2
Here is a relaxed Ca3NbIn crystal from Alexandria via LeMat-Bulk. Energies are from PBE.

Cell lengths 5.763, 5.763, 5.763 Å; angles 90.00, 90.00, 90.00 degrees
Space group Pm-3m (No. 221)
Asymmetric unit:
Ca 0.000 0.000 0.500
Nb 0.500 0.500 0.500
In 0.000 0.000 0.000


Most stable: version 1. Least stable: version 2.